Arrangement one

A plane-wave DFT calculation with PBE was carried out for an optimized crystal structure of CsTeOsO.

Cell lengths 4.484, 7.179, 7.956 Å; angles 90.00, 90.00, 90.00 degrees
Fractional positions:
Os: 0.500 0.473 0.937
Os: 0.500 0.973 0.063
Te: 0.000 0.409 0.774
Te: 0.000 0.909 0.226
O: 0.500 0.234 0.037
O: 0.500 0.734 0.963
Cs: 0.000 0.392 0.291
Cs: 0.000 0.892 0.709

space group	Pmc2_1 (26)
size of the total moment	0.002	μB per cell



Arrangement two

A plane-wave DFT calculation with PBE was carried out for an optimized crystal structure of CsTeOsO.

Cell lengths 4.390, 4.390, 9.513 Å; angles 90.00, 90.00, 90.00 degrees
Fractional positions:
Cs: 0.500 0.000 0.500
Cs: 0.000 0.500 0.500
Te: 0.500 0.500 0.200
Te: 0.000 0.000 0.800
O: 0.500 0.000 0.000
O: 0.000 0.500 0.000
Os: 0.500 0.500 0.933
Os: 0.000 0.000 0.067

space group	P4/nmm (129)
size of the total moment	0.009	μB per cell



The calculated energies rank the structures as follows, beginning with the most stable: arrangement one, arrangement two.



Arrangement one

A plane-wave DFT calculation with PBE was carried out for an optimized crystal structure of CsPPdO.

Cell lengths 4.634, 4.634, 8.266 Å; angles 90.00, 90.00, 90.00 degrees
Fractional positions:
Pd: 0.000 0.500 0.950
Pd: 0.500 0.000 0.050
P: 0.500 0.000 0.787
P: 0.000 0.500 0.213
O: 0.500 0.500 0.000
O: 0.000 0.000 0.000
Cs: 0.500 0.500 0.500
Cs: 0.000 0.000 0.500

space group	P4/nmm (129)



Arrangement two

A plane-wave DFT calculation with PBE was carried out for an optimized crystal structure of CsPPdO.

Cell lengths 6.743, 3.537, 8.125 Å; angles 90.00, 90.00, 90.00 degrees
Fractional positions:
O: 0.750 0.500 0.499
O: 0.250 0.500 0.501
Pd: 0.499 0.500 0.350
Pd: 0.999 0.500 0.650
P: 0.498 0.000 0.174
P: 0.998 0.000 0.826
Cs: 0.999 0.000 0.273
Cs: 0.499 0.000 0.727

space group	Pmc2_1 (26)



Arrangement three

A plane-wave DFT calculation with PBE was carried out for an optimized crystal structure of CsPPdO.

Cell lengths 3.822, 6.453, 7.856 Å; angles 90.00, 90.00, 90.00 degrees
Fractional positions:
P: 0.500 0.369 0.256
P: 0.500 0.631 0.756
Pd: 0.500 0.619 0.458
Pd: 0.500 0.381 0.958
O: 0.000 0.710 0.441
O: 0.000 0.290 0.941
Cs: 0.000 0.869 0.099
Cs: 0.000 0.131 0.599

space group	Pmc2_1 (26)



The calculated energies rank the structures as follows, beginning with the most stable: arrangement two, arrangement three, arrangement one.



Arrangement one

A plane-wave DFT calculation with PBE was carried out for an optimized crystal structure of CsRePO.

Cell lengths 3.605, 8.223, 6.867 Å; angles 90.00, 90.00, 90.00 degrees
Fractional positions:
O: 0.500 0.554 0.796
O: 0.500 0.446 0.296
Cs: 0.000 0.185 0.468
Cs: 0.000 0.815 0.968
P: 0.000 0.247 0.970
P: 0.000 0.753 0.470
Re: 0.500 0.585 0.519
Re: 0.500 0.415 0.019

space group	Pmc2_1 (26)
size of the total moment	0.004	μB per cell



Arrangement two

A plane-wave DFT calculation with PBE was carried out for an optimized crystal structure of CsRePO.

Cell lengths 3.827, 6.818, 7.568 Å; angles 90.00, 90.00, 90.00 degrees
Fractional positions:
P: 0.000 0.556 0.756
P: 0.000 0.444 0.256
Cs: 0.500 0.167 0.556
Cs: 0.500 0.833 0.056
Re: 0.000 0.334 0.973
Re: 0.000 0.666 0.473
O: 0.500 0.296 0.969
O: 0.500 0.704 0.469

space group	Pmc2_1 (26)
size of the total moment	0.003	μB per cell



The calculated energies rank the structures as follows, beginning with the most stable: arrangement one, arrangement two.



Arrangement one

A plane-wave DFT calculation with PBE was carried out for an optimized crystal structure of CsTaPO.

Cell lengths 3.537, 7.840, 7.370 Å; angles 90.00, 90.00, 90.00 degrees
Fractional positions:
O: 0.000 0.699 0.989
O: 0.000 0.301 0.489
Ta: 0.500 0.817 0.998
Ta: 0.500 0.183 0.498
Cs: 0.000 0.700 0.513
Cs: 0.000 0.300 0.013
P: 0.500 0.993 0.254
P: 0.500 0.007 0.754

space group	Pmc2_1 (26)
size of the total moment	0.018	μB per cell



Arrangement two

A plane-wave DFT calculation with PBE was carried out for an optimized crystal structure of CsTaPO.

Cell lengths 4.120, 4.120, 12.466 Å; angles 90.00, 90.00, 90.00 degrees
Fractional positions:
Ta: 0.750 0.250 0.500
Ta: 0.250 0.750 0.500
P: 0.250 0.250 0.613
P: 0.750 0.750 0.387
Cs: 0.750 0.750 0.844
Cs: 0.250 0.250 0.156
O: 0.750 0.250 0.000
O: 0.250 0.750 0.000

space group	P4/nmm (129)
size of the total moment	0.052	μB per cell



The calculated energies rank the structures as follows, beginning with the most stable: arrangement one, arrangement two.



Arrangement one

A plane-wave DFT calculation with PBE was carried out for an optimized crystal structure of CsZnPO4.

Cell lengths 9.196, 5.419, 9.253 Å; angles 90.00, 90.00, 90.00 degrees
Fractional positions:
Cs: 0.005 0.263 0.210
Cs: 0.995 0.763 0.790
Cs: 0.505 0.263 0.290
Cs: 0.495 0.763 0.710
Zn: 0.679 0.251 0.918
Zn: 0.179 0.251 0.582
Zn: 0.321 0.751 0.082
Zn: 0.821 0.751 0.418
O: 0.264 0.644 0.275
O: 0.258 0.016 0.443
O: 0.742 0.516 0.557
O: 0.531 0.761 0.101
O: 0.031 0.761 0.399
O: 0.764 0.644 0.225
O: 0.242 0.516 0.943
O: 0.755 0.085 0.457
O: 0.255 0.085 0.043
O: 0.745 0.585 0.957
O: 0.245 0.585 0.543
O: 0.236 0.144 0.775
O: 0.969 0.261 0.601
O: 0.758 0.016 0.057
O: 0.736 0.144 0.725
O: 0.469 0.261 0.899
P: 0.303 0.252 0.915
P: 0.197 0.752 0.415
P: 0.697 0.752 0.085
P: 0.803 0.252 0.585

space group	Pna2_1 (33)



Arrangement two

A plane-wave DFT calculation with PBE was carried out for an optimized crystal structure of CsZnPO4.

Cell lengths 8.846, 5.481, 9.636 Å; angles 90.00, 90.00, 90.00 degrees
Fractional positions:
O: 0.719 0.022 0.506
O: 0.219 0.022 0.994
O: 0.281 0.978 0.494
O: 0.723 0.250 0.730
O: 0.223 0.250 0.770
O: 0.219 0.478 0.994
O: 0.777 0.750 0.230
O: 0.543 0.750 0.078
O: 0.457 0.250 0.922
O: 0.781 0.978 0.006
O: 0.281 0.522 0.494
O: 0.957 0.250 0.578
O: 0.277 0.750 0.270
O: 0.781 0.522 0.006
O: 0.043 0.750 0.422
O: 0.719 0.478 0.506
Zn: 0.327 0.750 0.075
Zn: 0.173 0.250 0.575
Zn: 0.673 0.250 0.925
Zn: 0.827 0.750 0.425
P: 0.217 0.750 0.418
P: 0.283 0.250 0.918
P: 0.783 0.250 0.582
P: 0.717 0.750 0.082
Cs: 0.500 0.750 0.706
Cs: 0.000 0.750 0.794
Cs: 0.500 0.250 0.294
Cs: 0.000 0.250 0.206

space group	Pnma (62)



The calculated energies rank the structures as follows, beginning with the most stable: arrangement one, arrangement two.



Arrangement one

A plane-wave DFT calculation with PBE was carried out for an optimized crystal structure of CsZrPO.

Cell lengths 3.669, 7.932, 7.752 Å; angles 90.00, 90.00, 90.00 degrees
Fractional positions:
Zr: 0.500 0.308 0.996
Zr: 0.500 0.692 0.496
Cs: 0.000 0.207 0.519
Cs: 0.000 0.793 0.019
O: 0.000 0.813 0.483
O: 0.000 0.187 0.983
P: 0.500 0.513 0.757
P: 0.500 0.487 0.257

space group	Pmc2_1 (26)
size of the total moment	0.000	μB per cell



Arrangement two

A plane-wave DFT calculation with PBE was carried out for an optimized crystal structure of CsZrPO.

Cell lengths 4.036, 8.904, 6.700 Å; angles 90.00, 90.00, 90.00 degrees
Fractional positions:
P: 0.000 0.264 0.454
P: 0.000 0.736 0.954
Cs: 0.000 0.334 0.959
Cs: 0.000 0.666 0.459
Zr: 0.500 0.896 0.020
Zr: 0.500 0.104 0.520
O: 0.500 0.067 0.821
O: 0.500 0.933 0.321

space group	Pmc2_1 (26)
size of the total moment	0.000	μB per cell



The calculated energies rank the structures as follows, beginning with the most stable: arrangement two, arrangement one.



Arrangement one

A plane-wave DFT calculation with PBE was carried out for an optimized crystal structure of CsPmTeO.

Cell lengths 4.546, 4.546, 10.950 Å; angles 90.00, 90.00, 90.00 degrees
Fractional positions:
Pm: 0.750 0.750 0.922
Pm: 0.250 0.250 0.078
O: 0.250 0.750 0.000
O: 0.750 0.250 0.000
Te: 0.250 0.250 0.752
Te: 0.750 0.750 0.248
Cs: 0.750 0.250 0.500
Cs: 0.250 0.750 0.500

space group	P4/nmm (129)
size of the total moment	0.002	μB per cell



Arrangement two

A plane-wave DFT calculation with PBE was carried out for an optimized crystal structure of CsPmTeO.

Cell lengths 5.038, 9.104, 7.341 Å; angles 90.00, 90.00, 90.00 degrees
Fractional positions:
Te: 0.000 0.715 0.119
Te: 0.000 0.285 0.619
Pm: 0.500 0.895 0.029
Pm: 0.500 0.105 0.529
Cs: 0.000 0.291 0.113
Cs: 0.000 0.709 0.613
O: 0.500 0.929 0.730
O: 0.500 0.071 0.230

space group	Pmc2_1 (26)
size of the total moment	0.000	μB per cell



The calculated energies rank the structures as follows, beginning with the most stable: arrangement two, arrangement one.



Arrangement one

A plane-wave DFT calculation with PBE was carried out for an optimized crystal structure of Cs2Pr2O5.

Cell lengths 7.577, 4.669, 4.669 Å; angles 90.00, 90.00, 90.00 degrees
Fractional positions:
O: 0.751 0.000 0.500
O: 0.249 0.000 0.500
O: 0.751 0.500 0.000
O: 0.500 0.500 0.500
O: 0.249 0.500 0.000
Cs: 0.803 0.500 0.500
Cs: 0.197 0.500 0.500
Pr: 0.000 0.000 0.000
Pr: 0.500 0.000 0.000

space group	P4/mmm (123)
size of the total moment	0.003	μB per cell



Arrangement two

A plane-wave DFT calculation with PBE was carried out for an optimized crystal structure of Cs2Pr2O5.

Cell lengths 9.810, 4.573, 4.573 Å; angles 90.00, 90.00, 90.00 degrees
Each line ends with the local moment (μB).
Fractional positions:
Pr: 0.273 0.500 0.500  -0.02
Pr: 0.727 0.500 0.500  -0.02
O: 0.220 0.000 0.500  0.32
O: 0.220 0.500 0.000  0.47
O: 0.780 0.500 0.000  0.47
O: 0.780 0.000 0.500  0.32
O: 0.500 0.500 0.500  0.07
Cs: 0.000 0.000 0.000  0.01
Cs: 0.500 0.000 0.000  0.00

space group	P4/mmm (123)
size of the total moment	2.002	μB per cell



The calculated energies rank the structures as follows, beginning with the most stable: arrangement two, arrangement one.



Arrangement one

A plane-wave DFT calculation with PBE was carried out for an optimized crystal structure of CsPrSO.

Cell lengths 8.894, 9.773, 5.832 Å; angles 90.00, 90.00, 90.00 degrees
Fractional positions:
O: 0.537 0.827 0.062
O: 0.463 0.173 0.562
O: 0.037 0.173 0.062
O: 0.963 0.827 0.562
Pr: 0.930 0.363 0.064
Pr: 0.430 0.637 0.064
Pr: 0.570 0.363 0.564
Pr: 0.070 0.637 0.564
Cs: 0.116 0.100 0.560
Cs: 0.884 0.900 0.060
Cs: 0.384 0.100 0.060
Cs: 0.616 0.900 0.560
S: 0.106 0.609 0.064
S: 0.394 0.609 0.564
S: 0.606 0.391 0.064
S: 0.894 0.391 0.564

space group	Pca2_1 (29)
size of the total moment	0.001	μB per cell



Arrangement two

A plane-wave DFT calculation with PBE was carried out for an optimized crystal structure of CsPrSO.

Cell lengths 5.938, 5.943, 12.887 Å; angles 77.45, 90.00, 90.00 degrees
Fractional positions:
S: 0.881 0.392 0.738
S: 0.381 0.608 0.262
S: 0.380 0.892 0.738
S: 0.880 0.108 0.262
Cs: 0.880 0.948 0.616
Cs: 0.380 0.052 0.384
Cs: 0.382 0.449 0.616
Cs: 0.882 0.551 0.384
Pr: 0.644 0.044 0.909
Pr: 0.144 0.956 0.091
Pr: 0.643 0.455 0.091
Pr: 0.143 0.545 0.909
O: 0.396 0.750 0.000
O: 0.394 0.250 0.000
O: 0.896 0.250 0.000
O: 0.894 0.750 0.000

space group	P2_1 (4)
size of the total moment	0.002	μB per cell



The calculated energies rank the structures as follows, beginning with the most stable: arrangement two, arrangement one.